No. 1
Y2CoReAu: optimized geometry, PBE.

a b c (Å): 5.3573 4.5668 5.3573
angles (deg): 90.00 90.00 90.00
Last column: nearest neighbours and their distance in Å.
Fractional positions:
Y 0.0000 0.0000 0.5000  2 Au 2.68
Re 0.5000 0.5000 0.5000  8 Y 3.52, 4 Co 3.79
Au 0.0000 0.0000 0.0000  2 Co 2.28
Y 0.5000 0.0000 0.0000  2 Au 2.68
Co 0.0000 0.5000 0.0000  2 Au 2.28

formation energy from the elements: 1.10 eV/atom
symmetry: No. 123
calculated volume: 26.2 A^3/atom



No. 2
Zn2CoReAu: optimized geometry, PBE.

a b c (Å): 4.8321 4.9200 4.8321
angles (deg): 90.00 90.00 90.00
Last column: nearest neighbours and their distance in Å.
Fractional positions:
Co 0.5000 0.5000 0.5000  4 Au 3.42, 8 Zn 3.45
Au 0.0000 0.5000 0.0000  2 Re 2.46
Zn 0.5000 0.0000 0.0000  2 Re 2.42
Zn 0.0000 0.0000 0.5000  2 Re 2.42
Re 0.0000 0.0000 0.0000  4 Zn 2.42, 2 Au 2.46

formation energy from the elements: 1.50 eV/atom
symmetry: No. 123
calculated volume: 23.0 A^3/atom



No. 3
CoRh2Au2: optimized geometry, PBE.

a b c (Å): 7.0922 7.0922 7.0922
angles (deg): 149.85 149.85 43.16
Last column: nearest neighbours and their distance in Å.
Fractional positions:
Co 0.0000 0.0000 0.0000  8 Rh 2.88
Au 0.7500 0.2500 0.5000  4 Au 2.61, 4 Rh 2.78
Au 0.2500 0.7500 0.5000  4 Au 2.61, 4 Rh 2.78
Rh 0.4080 0.4080 0.0000  1 Rh 2.43
Rh 0.5920 0.5920 0.0000  1 Rh 2.43

formation energy from the elements: 0.75 eV/atom
symmetry: No. 139
calculated volume: 17.9 A^3/atom



No. 4
CoRh2Au: optimized geometry, PBE.

a b c (Å): 3.7331 2.7471 6.3321
angles (deg): 64.41 90.00 90.00
Last column: nearest neighbours and their distance in Å.
Fractional positions:
Rh 0.0000 0.0246 0.9753  3 Rh 2.57-2.75, 4 Co 2.65, 4 Au 2.80
Au 0.5000 0.2500 0.2500  2 Au 2.75, 8 Rh 2.80, 2 Co 2.86
Rh 0.0000 0.4754 0.5247  3 Rh 2.57-2.75, 4 Co 2.65, 4 Au 2.80
Co 0.5000 0.7500 0.7500  8 Rh 2.65, 2 Co 2.75, 2 Au 2.86

formation energy from the elements: 0.18 eV/atom
symmetry: No. 10
calculated volume: 14.6 A^3/atom



No. 5
CoRhAu: optimized geometry, PBE.

a b c (Å): 4.1253 4.1253 4.1253
angles (deg): 60.00 60.00 60.00
Last column: nearest neighbours and their distance in Å.
Fractional positions:
Rh 0.0000 0.0000 0.0000  4 Co 2.53
Au 0.5000 0.5000 0.5000  4 Co 2.53
Co 0.7500 0.7500 0.7500  4 Au 2.53, 4 Rh 2.53

formation energy from the elements: 0.41 eV/atom
symmetry: No. 216
calculated volume: 16.5 A^3/atom



No. 6
CoRhAu: optimized geometry, PBE.

a b c (Å): 4.8848 4.8848 4.8848
angles (deg): 146.69 136.16 56.16
Last column: nearest neighbours and their distance in Å.
Fractional positions:
Co 0.3209 0.3209 0.0000  4 Rh 2.59, 5 Au 2.75-2.79, 2 Co 2.80
Au 0.9969 0.9969 0.0000  5 Rh 2.71-2.80, 5 Co 2.75-2.79, 2 Au 2.80
Rh 0.6822 0.6822 0.0000  4 Co 2.59, 5 Au 2.71-2.80, 2 Rh 2.80

formation energy from the elements: 0.17 eV/atom
symmetry: No. 44
calculated volume: 14.7 A^3/atom



No. 7
CoRh2Au: optimized geometry, PBE.

a b c (Å): 9.0822 9.0822 9.0822
angles (deg): 17.44 17.44 17.44
Last column: nearest neighbours and their distance in Å.
Fractional positions:
Au 0.2500 0.2500 0.2500  6 Au 2.75, 6 Rh 2.92
Rh 0.0081 0.0081 0.0081  3 Co 2.57, 6 Rh 2.75
Rh 0.4919 0.4919 0.4919  3 Co 2.57, 6 Rh 2.75
Co 0.7500 0.7500 0.7500  6 Rh 2.57, 6 Co 2.75

formation energy from the elements: 0.12 eV/atom
symmetry: No. 166
calculated volume: 14.7 A^3/atom



No. 8
CoRhAu: optimized geometry, PBE.

a b c (Å): 5.9599 5.9599 5.9599
angles (deg): 152.92 152.92 38.68
Last column: nearest neighbours and their distance in Å.
Fractional positions:
Au 0.9939 0.9939 0.0000  4 Co 2.75, 4 Au 2.79, 4 Rh 2.90
Rh 0.6830 0.6830 0.0000  4 Co 2.53, 4 Rh 2.79
Co 0.3232 0.3232 0.0000  4 Rh 2.53, 4 Au 2.75, 4 Co 2.79

formation energy from the elements: 0.13 eV/atom
symmetry: No. 107
calculated volume: 14.6 A^3/atom



No. 9
CoRhAu: optimized geometry, PBE.

a b c (Å): 2.7585 2.7585 6.7076
angles (deg): 90.00 90.00 120.00
Last column: nearest neighbours and their distance in Å.
Fractional positions:
Au 0.0000 0.0000 0.0101  6 Au 2.76, 3 Co 2.77, 3 Rh 2.94
Co 0.3333 0.6667 0.3478  3 Rh 2.54, 6 Co 2.76, 3 Au 2.77
Rh 0.6667 0.3333 0.6420  3 Co 2.54, 6 Rh 2.76

formation energy from the elements: 0.16 eV/atom
symmetry: No. 156
calculated volume: 14.7 A^3/atom



No. 10
CoRh2Au: optimized geometry, PBE.

a b c (Å): 4.7588 4.7588 4.7588
angles (deg): 132.07 132.07 70.11
Last column: nearest neighbours and their distance in Å.
Fractional positions:
Rh 0.5000 0.5000 0.0000  4 Rh 2.73, 4 Co 2.74, 4 Au 2.74
Co 0.7500 0.2500 0.5000  4 Au 2.73, 8 Rh 2.74
Rh 0.0000 0.0000 0.0000  4 Rh 2.73, 4 Co 2.74, 4 Au 2.74
Au 0.2500 0.7500 0.5000  4 Co 2.73, 8 Rh 2.74

formation energy from the elements: 0.19 eV/atom
symmetry: No. 139
calculated volume: 14.6 A^3/atom



No. 11
CoRh2Au: optimized geometry, PBE.

a b c (Å): 4.3806 4.3806 4.3806
angles (deg): 60.00 60.00 60.00
Last column: nearest neighbours and their distance in Å.
Fractional positions:
Rh 0.2500 0.2500 0.2500  4 Rh 2.68, 4 Au 2.68
Au 0.5000 0.5000 0.5000  4 Rh 2.68, 4 Co 2.68
Co 0.7500 0.7500 0.7500  4 Au 2.68, 4 Rh 2.68
Rh 0.0000 0.0000 0.0000  4 Rh 2.68, 4 Co 2.68

formation energy from the elements: 0.34 eV/atom
symmetry: No. 216
calculated volume: 14.9 A^3/atom



No. 12
CoRh2Au2: optimized geometry, PBE.

a b c (Å): 6.2769 6.2769 4.1998
angles (deg): 90.00 90.00 90.00
Last column: nearest neighbours and their distance in Å.
Fractional positions:
Au 0.6650 0.8350 0.5000  6 Rh 2.72-2.85, 1 Au 2.93
Rh 0.3593 0.8593 0.0000  2 Co 2.42, 1 Rh 2.50
Co 0.0000 0.0000 0.0000  4 Rh 2.42
Rh 0.6407 0.1407 0.0000  2 Co 2.42, 1 Rh 2.50
Au 0.3350 0.1650 0.5000  6 Rh 2.72-2.85, 1 Au 2.93
Rh 0.1407 0.3593 0.0000  2 Co 2.42, 1 Rh 2.50
Co 0.5000 0.5000 0.0000  4 Rh 2.42
Au 0.8350 0.3350 0.5000  6 Rh 2.72-2.85, 1 Au 2.93
Rh 0.8593 0.6407 0.0000  2 Co 2.42, 1 Rh 2.50
Au 0.1650 0.6650 0.5000  6 Rh 2.72-2.85, 1 Au 2.93

formation energy from the elements: 0.42 eV/atom
symmetry: No. 127
calculated volume: 16.5 A^3/atom